1.
Density functional theory data (GGA-PBE) for a geometry-optimized Y4ScS7 structure.

Values from the calculation:
spin magnetization	0.0000	μB/atom

```
12
Lattice="3.781 0.000 0.000 -1.891 6.126 -1.626 0.000 0.014 11.519" Properties=species:S:1:pos:R:3 pbc="T T T"
Y 1.891 2.433 8.610
Y 0.000 3.690 1.230
Y 1.891 6.124 9.859
Y 0.000 1.373 4.570
Sc 1.891 4.772 5.385
S 1.891 3.002 3.352
S 0.000 3.297 6.565
S 0.000 4.152 9.808
S 1.891 1.949 0.071
S 0.000 0.450 8.834
S 1.891 5.650 0.985
S 0.000 6.076 4.222
```

2.
Density functional theory data (GGA-PBE) for a geometry-optimized YScS3 structure.

Values from the calculation:
spin magnetization	0.0000	μB/atom

```
20
Lattice="6.654 0.000 0.000 0.000 8.731 -0.314 0.000 -4.267 8.743" Properties=species:S:1:pos:R:3 pbc="T T T"
Y 1.238 3.003 0.772
Y 2.089 5.234 4.987
Y 4.565 -0.771 3.442
Y 5.416 1.460 7.657
Sc 5.028 3.085 4.392
Sc 4.953 0.854 0.177
Sc 1.701 3.610 8.252
Sc 1.626 1.378 4.037
S 3.705 1.767 2.527
S 0.653 3.649 3.318
S 6.276 3.998 6.742
S 4.406 5.359 3.742
S 2.674 -2.850 7.847
S 1.079 5.603 0.158
S 5.576 -1.140 8.271
S 3.980 7.313 0.582
S 2.248 -0.896 4.687
S 0.378 0.465 1.687
S 6.001 0.814 5.111
S 2.949 2.696 5.902
```

no.,formation energy from raw total energies (eV per formula unit),raw total energy (eV per atom)
1,-24.57,-7.14
2,-9.48,-6.93